[1]
ZnCd2P | GGA-PBE | optimized geometry

Cell: 6.916 6.916 6.916 Å, 150.96 149.47 42.64°
Fractional coordinates of all 4 atoms:
Cd 0.317 0.317 0.000
Cd 0.683 0.683 0.000
P 0.500 0.000 0.500
Zn 0.000 0.500 0.500

## Properties
space group: Immm
distance to the lowest polymorph of the same formula: 0.000 eV per atom
energy of formation: 98 meV/atom
uncorrected energy: -2.03 eV per atom
DOS(E_F): 0.354 states/eV per atom

***

[2]
EuErGaPd | GGA-PBE | optimized geometry

Cell: 5.086 5.086 5.086 Å, 60.00 60.00 60.00°
Site moments in Bohr magnetons follow the coordinates.
Fractional coordinates of all 4 atoms:
Ga 0.250 0.250 0.250  -0.02
Er 0.500 0.500 0.500  -0.01
Eu 0.000 0.000 0.000  6.74
Pd 0.750 0.750 0.750  -0.01

## Properties
space group: F-43m
energy of formation: -583 meV/atom
uncorrected energy: -6.35 eV per atom
DOS(E_F): 1.505 states/eV per atom

***

[3]
BeTl2Au | GGA-PBE | optimized geometry

Cell: 3.705 4.696 5.688 Å, 64.01 90.00 90.00°
Fractional coordinates of all 4 atoms:
Be 0.500 0.561 0.771
Tl 0.500 0.286 0.300
Tl 0.000 0.980 0.914
Au 0.000 0.674 0.515

## Properties
space group: Pm
distance to the lowest polymorph of the same formula: 0.082 eV per atom
energy of formation: 175 meV/atom
uncorrected energy: -2.76 eV per atom
DOS(E_F): 0.300 states/eV per atom

***

[4]
CaTe2O6 | GGA-PBE | optimized geometry

Cell: 4.958 5.571 5.571 Å, 120.00 90.00 90.00°
Fractional coordinates of all 9 atoms:
Te 0.000 0.667 0.333
Te 0.000 0.333 0.667
O 0.780 0.367 0.367
O 0.220 0.633 0.633
O 0.780 0.000 0.633
O 0.780 0.633 0.000
O 0.220 0.367 0.000
O 0.220 0.000 0.367
Ca 0.500 0.000 0.000

## Properties
space group: P-31m
raw formation energy: -12.6 eV per formula unit
uncorrected energy: -5.62 eV per atom
DOS(E_F): 0.172 states/eV per atom

***

[5]
Zr2CoP | GGA-PBE | optimized geometry

Cell: 6.725 6.725 6.725 Å, 31.26 31.26 31.26°
Fractional coordinates of all 4 atoms:
Co 0.500 0.500 0.500
Zr 0.752 0.752 0.752
Zr 0.248 0.248 0.248
P 0.000 0.000 0.000

## Properties
space group: R-3m
distance to the lowest polymorph of the same formula: 0.310 eV per atom
energy of formation: -623 meV/atom
uncorrected energy: -8.03 eV per atom
DOS(E_F): 0.814 states/eV per atom

***

[6]
LiV3Rh | GGA-PBE | optimized geometry

Cell: 4.735 4.735 4.735 Å, 90.00 90.00 90.00°
Site moments in Bohr magnetons follow the coordinates.
Fractional coordinates of all 5 atoms:
Li 0.500 0.500 0.500  0.01
V 0.500 0.000 0.000  2.02
V 0.000 0.000 0.500  2.02
V 0.000 0.500 0.000  2.02
Rh 0.000 0.000 0.000  -0.19

## Properties
space group: Pm-3m
distance to the lowest polymorph of the same formula: 0.000 eV per atom
energy of formation: 985 meV/atom
uncorrected energy: -6.34 eV per atom
DOS(E_F): 1.386 states/eV per atom